The following is a PBE calculation of a relaxed structure of Cd4Te3SO13, from the Open Quantum Materials Database.

Summary:
VASP energy: -212.84 eV per cell

Cell lengths 5.4282, 9.9593, 11.5728 Å; angles 88.94, 87.96, 74.45 degrees
Atoms (fractional coordinates):
Cd (0.0000, 0.0000, 0.0000)
Cd (0.0933, 0.8612, 0.6762)
Cd (0.2998, 0.3947, 0.4362)
Cd (0.3168, 0.2935, 0.1275)
Cd (0.5000, 0.0000, 0.5000)
Cd (0.6832, 0.7065, 0.8725)
Cd (0.7002, 0.6053, 0.5638)
Cd (0.9067, 0.1388, 0.3238)
Te (0.1715, 0.7632, 0.3748)
Te (0.2674, 0.5211, 0.7501)
Te (0.4715, 0.0449, 0.8126)
Te (0.5285, 0.9551, 0.1874)
Te (0.7326, 0.4789, 0.2499)
Te (0.8285, 0.2368, 0.6252)
S (0.2111, 0.6637, 0.0640)
S (0.7889, 0.3363, 0.9360)
O (0.0191, 0.6253, 0.4301)
O (0.0395, 0.3449, 0.2976)
O (0.0623, 0.7989, 0.1158)
O (0.0936, 0.6398, 0.9548)
O (0.1375, 0.0866, 0.6142)
O (0.2105, 0.5517, 0.1504)
O (0.2545, 0.9272, 0.8364)
O (0.2923, 0.0741, 0.0871)
O (0.3345, 0.8015, 0.5119)
O (0.3367, 0.0385, 0.3212)
O (0.4324, 0.6669, 0.7383)
O (0.4430, 0.4458, 0.6110)
O (0.4804, 0.6696, 0.0413)
O (0.5196, 0.3304, 0.9587)
O (0.5570, 0.5542, 0.3890)
O (0.5676, 0.3331, 0.2617)
O (0.6633, 0.9615, 0.6788)
O (0.6655, 0.1985, 0.4881)
O (0.7077, 0.9259, 0.9129)
O (0.7455, 0.0728, 0.1636)
O (0.7895, 0.4483, 0.8496)
O (0.8625, 0.9134, 0.3858)
O (0.9064, 0.3602, 0.0452)
O (0.9377, 0.2011, 0.8842)
O (0.9605, 0.6551, 0.7024)
O (0.9809, 0.3747, 0.5699)

The following is a PBE calculation of a relaxed structure of CdSb2O4, from the Open Quantum Materials Database.

Summary:
VASP energy: -71.43 eV per cell

Cell lengths 6.8209, 6.8209, 6.8209 Å; angles 60.00, 60.00, 60.00 degrees
Atoms (fractional coordinates):
Cd (0.1250, 0.1250, 0.1250)
Cd (0.8750, 0.8750, 0.8750)
Sb (0.0000, 0.5000, 0.5000)
Sb (0.5000, 0.0000, 0.5000)
Sb (0.5000, 0.5000, 0.0000)
Sb (0.5000, 0.5000, 0.5000)
O (0.2585, 0.2585, 0.2585)
O (0.2585, 0.2585, 0.7244)
O (0.2585, 0.7244, 0.2585)
O (0.2756, 0.7415, 0.7415)
O (0.7244, 0.2585, 0.2585)
O (0.7415, 0.2756, 0.7415)
O (0.7415, 0.7415, 0.2756)
O (0.7415, 0.7415, 0.7415)

The following is a PBE calculation of a relaxed structure of Sc2Cd2O5, from the Open Quantum Materials Database.

Summary:
total magnetization: 0.00 μB per formula unit
relative energy among the computed polymorphs: 0 meV/atom

Cell lengths 3.9725, 3.9725, 7.6560 Å; angles 90.00, 90.00, 90.00 degrees
Atoms (fractional coordinates):
Sc (0.0000, 0.0000, 0.2427)
Sc (0.0000, 0.0000, 0.7573)
Cd (0.5000, 0.5000, 0.0000)
Cd (0.5000, 0.5000, 0.5000)
O (0.0000, 0.0000, 0.5000)
O (0.0000, 0.5000, 0.1911)
O (0.0000, 0.5000, 0.8089)
O (0.5000, 0.0000, 0.1911)
O (0.5000, 0.0000, 0.8089)

The following is a PBE calculation of a relaxed structure of Sc3CdO, from the Open Quantum Materials Database.

Summary:
VASP energy: -31.89 eV per cell
total magnetization: 0.00 μB per formula unit

Cell lengths 4.4349, 4.4349, 4.4349 Å; angles 90.00, 90.00, 90.00 degrees
Atoms (fractional coordinates):
Sc (0.0000, 0.0000, 0.5000)
Sc (0.0000, 0.5000, 0.0000)
Sc (0.5000, 0.0000, 0.0000)
Cd (0.5000, 0.5000, 0.5000)
O (0.0000, 0.0000, 0.0000)

The following is a PBE calculation of a relaxed structure of ScCdO3, from the Open Quantum Materials Database.

Summary:
VASP energy: -63.36 eV per cell
total magnetization: 1.00 μB per formula unit

Cell lengths 5.5779, 5.5779, 5.5779 Å; angles 60.57, 60.57, 60.57 degrees
Atoms (fractional coordinates):
Sc (0.0000, 0.0000, 0.0000)
Sc (0.5000, 0.5000, 0.5000)
Cd (0.2500, 0.2500, 0.2500)
Cd (0.7500, 0.7500, 0.7500)
O (0.1368, 0.7500, 0.3632)
O (0.2500, 0.6368, 0.8632)
O (0.3632, 0.1368, 0.7500)
O (0.6368, 0.8632, 0.2500)
O (0.7500, 0.3632, 0.1368)
O (0.8632, 0.2500, 0.6368)

The following is a PBE calculation of a relaxed structure of ScCdO3, from the Open Quantum Materials Database.

Summary:
VASP energy: -127.38 eV per cell
total magnetization: 1.00 μB per formula unit

Cell lengths 5.7076, 7.8107, 5.4596 Å; angles 90.00, 90.00, 90.00 degrees
Atoms (fractional coordinates):
Sc (0.0000, 0.0000, 0.0000)
Sc (0.0000, 0.5000, 0.0000)
Sc (0.5000, 0.0000, 0.5000)
Sc (0.5000, 0.5000, 0.5000)
Cd (0.0610, 0.2500, 0.4797)
Cd (0.4390, 0.7500, 0.9797)
Cd (0.5610, 0.2500, 0.0203)
Cd (0.9390, 0.7500, 0.5203)
O (0.0619, 0.7500, 0.1312)
O (0.2002, 0.5698, 0.6952)
O (0.2002, 0.9302, 0.6952)
O (0.2998, 0.0698, 0.1952)
O (0.2998, 0.4302, 0.1952)
O (0.4381, 0.2500, 0.6312)
O (0.5619, 0.7500, 0.3688)
O (0.7002, 0.5698, 0.8048)
O (0.7002, 0.9302, 0.8048)
O (0.7998, 0.0698, 0.3048)
O (0.7998, 0.4302, 0.3048)
O (0.9381, 0.2500, 0.8688)

Number 1: V 14.3 A^3/atom. Number 2: V 16.0 A^3/atom. Number 3: V 13.4 A^3/atom. Number 4: V 17.4 A^3/atom. Number 5: V 12.4 A^3/atom. Number 6: V 12.2 A^3/atom.